Computed, not measured: a geometry-optimized ZnCu4Au structure at the GGA-PBEsol level of DFT.

abc: 4.781 4.781 4.781
angles: 60.00 60.00 60.00
Element x y z (fractional)
Zn (0.000, 0.000, 0.000)
Cu (0.124, 0.625, 0.625)
Cu (0.625, 0.124, 0.625)
Cu (0.625, 0.625, 0.124)
Cu (0.625, 0.625, 0.625)
Au (0.250, 0.250, 0.250)

Computed properties:
The energy of formation is 18 meV/atom. The electronic total energy comes out at -22.7 eV/cell. The crystal system is cubic.